No. 1
# La2Sc

Crystalline La2Sc at its relaxed geometry (PBE, Alexandria via LeMat-Bulk).

Summary:
Energy relative to the elements, eV per atom: 0.062
Magnetic moment, μB per formula unit: 0.000
Relative energy among the computed polymorphs, kJ per mole of atoms: 1.0
DFT total energy, eV per atom: -5.3336
Space group: Cmcm, No. 63
Mass density, kg/m³: 5472

abc: 6.158 6.369 5.706
angles: 90.00 90.00 118.91
Element x y z (fractional)
La: 0.026 0.352 0.500
La: 0.974 0.982 0.000
La: 0.658 0.352 0.000
La: 0.342 0.982 0.500
Sc: 0.335 0.667 0.000
Sc: 0.665 0.667 0.500

***

No. 2
# CeAlAgAu

Crystalline CeAlAgAu at its relaxed geometry (PBE, Alexandria via LeMat-Bulk).

Summary:
Energy relative to the elements, eV per atom: -0.403
Magnetic moment, μB per formula unit: 0.613
DFT total energy, eV per atom: -4.3539
Space group: F-43m, No. 216
Mass density, kg/m³: 9265

abc: 4.927 4.927 4.927
angles: 60.00 60.00 60.00
Last column: magnetic moment on the atom in μB.
Element x y z (fractional)
Al: 0.000 0.000 0.000  0.00
Ce: 0.500 0.500 0.500  0.55
Au: 0.750 0.750 0.750  0.00
Ag: 0.250 0.250 0.250  0.00

***

No. 3
# NdAl2Ru2C

Crystalline NdAl2Ru2C at its relaxed geometry (PBE, Alexandria via LeMat-Bulk).

Summary:
Energy relative to the elements, eV per atom: -0.431
Magnetic moment, μB per formula unit: 0.000
DFT total energy, eV per atom: -7.1024
Space group: P4/mmm, No. 123
Mass density, kg/m³: 7078

abc: 4.125 4.125 5.684
angles: 90.00 90.00 90.00
Element x y z (fractional)
Nd: 0.000 0.000 0.500
Al: 0.500 0.500 0.270
Al: 0.500 0.500 0.730
Ru: 0.500 0.000 0.000
Ru: 0.000 0.500 0.000
C: 0.000 0.000 0.000

***

No. 4
# AcPrAg

Crystalline AcPrAg at its relaxed geometry (PBE, Alexandria via LeMat-Bulk).

Summary:
Energy relative to the elements, eV per atom: -0.135
Magnetic moment, μB per formula unit: 0.369
Relative energy among the computed polymorphs, kJ per mole of atoms: 0.0
DFT total energy, eV per atom: -4.0481
Space group: I4mm, No. 107
Mass density, kg/m³: 7951

abc: 3.895 3.895 7.104
angles: 105.91 105.91 90.00
Last column: magnetic moment on the atom in μB.
Element x y z (fractional)
Ag: 0.675 0.675 0.351  0.00
Ac: 0.017 0.017 0.034  0.06
Pr: 0.308 0.308 0.616  0.09

***

No. 5
# Si2HgI

Crystalline Si2HgI at its relaxed geometry (PBE, Alexandria via LeMat-Bulk).

Summary:
Magnetic moment, μB per formula unit: 0.000
Relative energy among the computed polymorphs, kJ per mole of atoms: 13.8
Formation energy from raw total energies, meV per atom: 152
DFT total energy, eV per atom: -3.0223
Space group: Cm, No. 8
Mass density, kg/m³: 6034

abc: 8.081 3.954 6.831
angles: 90.00 104.65 90.00
Element x y z (fractional)
Si: 0.351 0.000 0.290
Si: 0.453 0.000 0.987
Si: 0.453 0.500 0.487
Si: 0.351 0.500 0.790
I: 0.024 0.000 0.183
I: 0.024 0.500 0.683
Hg: 0.692 0.500 0.232
Hg: 0.692 0.000 0.732

***

No. 6
# Sc6C2I11

Crystalline Sc6C2I11 at its relaxed geometry (PBE, Alexandria via LeMat-Bulk).

Summary:
Magnetic moment, μB per formula unit: 1.035
Formation energy from raw total energies, meV per atom: -1116
DFT total energy, eV per atom: -4.9841
Space group: P-1, No. 2
Mass density, kg/m³: 4187

abc: 9.296 10.758 14.865
angles: 93.30 104.48 109.55
Last column: magnetic moment on the atom in μB.
Element x y z (fractional)
I: 0.868 0.092 0.191  0.00
I: 0.121 0.869 0.307  0.00
I: 0.399 0.645 0.425  -0.01
I: 0.381 0.971 0.610  0.00
I: 0.879 0.131 0.693  0.00
I: 0.851 0.768 0.027  -0.01
I: 0.135 0.557 0.149  0.00
I: 0.131 0.512 0.659  -0.01
I: 0.619 0.029 0.390  0.00
I: 0.605 0.674 0.735  0.00
I: 0.883 0.802 0.515  0.00
I: 0.629 0.385 0.059  0.00
I: 0.601 0.355 0.575  -0.01
I: 0.371 0.615 0.941  0.00
I: 0.395 0.326 0.265  0.00
I: 0.132 0.908 0.809  0.00
I: 0.117 0.198 0.485  0.00
I: 0.618 0.073 0.891  -0.01
I: 0.382 0.927 0.109  -0.01
I: 0.149 0.232 0.973  -0.01
I: 0.869 0.488 0.341  -0.01
I: 0.865 0.443 0.851  0.00
Sc: 0.142 0.058 0.652  0.00
Sc: 0.562 0.223 0.736  0.20
Sc: 0.607 0.516 0.881  0.00
Sc: 0.828 0.656 0.203  0.22
Sc: 0.631 0.830 0.115  0.21
Sc: 0.172 0.344 0.797  0.22
Sc: 0.370 0.404 0.651  0.19
Sc: 0.369 0.170 0.885  0.21
Sc: 0.438 0.777 0.264  0.20
Sc: 0.393 0.484 0.119  0.00
Sc: 0.630 0.596 0.349  0.19
Sc: 0.858 0.942 0.348  0.00
C: 0.689 0.770 0.261  -0.02
C: 0.571 0.655 0.200  -0.02
C: 0.429 0.345 0.800  -0.02
C: 0.311 0.230 0.739  -0.02

***

No. 7
# YPaTl2

Crystalline YPaTl2 at its relaxed geometry (PBE, Alexandria via LeMat-Bulk).

Summary:
Energy relative to the elements, eV per atom: 0.049
Magnetic moment, μB per formula unit: 1.618
Relative energy among the computed polymorphs, kJ per mole of atoms: 9.3
DFT total energy, eV per atom: -5.1240
Space group: Fm-3m, No. 225
Mass density, kg/m³: 10974

abc: 5.382 5.382 5.382
angles: 60.00 60.00 60.00
Last column: magnetic moment on the atom in μB.
Element x y z (fractional)
Pa: 0.500 0.500 0.500  1.13
Y: 0.000 0.000 0.000  0.13
Tl: 0.750 0.750 0.750  0.02
Tl: 0.250 0.250 0.250  0.02

***

No. 8
# Be3C

Crystalline Be3C at its relaxed geometry (PBE, Alexandria via LeMat-Bulk).

Summary:
Energy relative to the elements, eV per atom: 0.905
Magnetic moment, μB per formula unit: 0.000
Relative energy among the computed polymorphs, kJ per mole of atoms: 67.3
DFT total energy, eV per atom: -4.1961
Space group: R-3m, No. 166
Mass density, kg/m³: 2198

abc: 4.042 4.042 4.042
angles: 116.92 116.92 116.92
Element x y z (fractional)
Be: 0.000 0.000 0.000
Be: 0.500 0.000 0.500
Be: 0.500 0.500 0.000
C: 0.000 0.500 0.500